The following is a PBE calculation of crystalline Tb4Pr2TmMg at its relaxed geometry, from Alexandria via LeMat-Bulk.

The structure belongs to space group Pmmm (No. 47); the cell edges are 4.996, 5.010 and 10.156 Å and the angles 90.00°, 90.00° and 90.00°. Symmetry generates all atoms from Tb at (0.000, 0.000, 0.250), Tb at (0.500, 0.500, 0.250), Pr at (0.000, 0.500, 0.000), Pr at (0.500, 0.000, 0.500), Tm at (0.000, 0.500, 0.500) and Mg at (0.500, 0.000, 0.000).

The calculation puts the uncorrected energy at -33.918 eV for the cell shown. Its formation energy is 0.03 eV/atom.

The following is a PBE calculation of crystalline La5I2O12 at its relaxed geometry, from Alexandria via LeMat-Bulk.

The structure belongs to space group C2/m (No. 12); the cell edges are 13.123, 6.541 and 7.794 Å and the angles 90.00°, 107.30° and 90.00°. Symmetry generates all atoms from La at (0.000, 0.000, 0.000), La at (0.196, 0.500, 0.329), La at (0.200, 0.500, 0.863), I at (0.000, 0.246, 0.500), O at (0.001, 0.000, 0.682), O at (0.002, 0.500, 0.312), O at (0.155, 0.247, 0.076) and O at (0.167, 0.270, 0.584).

The calculation puts the uncorrected energy at -262.555 eV for the cell shown.

The evaluated magnetization for the records listed, in turn: 0.0 0.0 Bohr magnetons per cell.